# 1
Cs3PrSb2O6: optimized geometry, PBE-GGA.

Calculated values
total magnetization: 0.00 μB/cell
ρ: 5.0 g/cm3
uncorrected energy: -5.702 eV/atom
DOS(E_F): 0.0000 states/eV per atom
ΔE_f (raw): -1.924 eV per atom

Cell and atoms, written as POSCAR:
```
Cs3PrSb2O6
1.0
6.452 0.000 0.000
-3.226 5.588 0.000
0.000 0.000 8.045
Cs Pr Sb O
3 1 2 6
Cartesian
0.000 0.000 0.000
0.000 3.725 5.384
3.226 1.863 2.661
0.000 0.000 4.022
0.000 3.725 1.720
3.226 1.863 6.325
0.000 1.972 2.620
-1.518 4.602 2.620
1.708 0.986 5.425
1.518 4.602 2.620
4.744 0.986 5.425
3.226 3.616 5.425
```

***

# 2
Cs3PrSb2O8: optimized geometry, PBE-GGA.

Calculated values
total magnetization: 0.01 μB/cell
ρ: 4.8 g/cm3
uncorrected energy: -5.799 eV/atom
DOS(E_F): 0.0000 states/eV per atom
ΔE_f (raw): -1.852 eV per atom

Cell and atoms, written as POSCAR:
```
Cs3PrSb2O8
1.0
6.475 0.000 0.000
-3.237 5.607 0.000
0.000 0.000 8.616
Cs Pr Sb O
3 1 2 8
Cartesian
0.000 0.000 0.000
0.000 3.738 6.148
3.237 1.869 2.468
0.000 0.000 4.308
0.000 3.738 2.224
3.237 1.869 6.392
0.000 1.948 2.921
-1.551 4.634 2.921
0.000 3.738 0.350
1.687 0.974 5.695
1.551 4.634 2.921
3.237 1.869 8.266
4.788 0.974 5.695
3.237 3.660 5.695
```

***

# 3
Cs2Pr2SbO6: optimized geometry, PBE-GGA.

Calculated values
total magnetization: 0.02 μB/cell
ρ: 5.3 g/cm3
uncorrected energy: -6.251 eV/atom
DOS(E_F): 0.5407 states/eV per atom
ΔE_f (raw): -2.148 eV per atom

Cell and atoms, written as POSCAR:
```
Cs2Pr2SbO6
1.0
3.124 -5.371 0.000
3.124 5.371 0.000
-1.893 0.000 7.086
Cs Pr Sb O
2 2 1 6
Cartesian
3.124 3.601 0.000
3.124 -3.601 0.000
2.177 1.775 3.543
2.177 -1.775 3.543
-0.946 0.000 3.543
0.002 1.669 4.659
0.919 0.000 2.407
0.002 -1.669 4.659
4.352 1.669 2.427
3.436 0.000 4.679
4.352 -1.669 2.427
```

***

# 4
Cs2PrScO4: optimized geometry, PBE-GGA.

Calculated values
total magnetization: 0.00 μB/cell
ρ: 5.8 g/cm3
uncorrected energy: -6.390 eV/atom
ΔE_f (raw): -2.309 eV per atom

Cell and atoms, written as POSCAR:
```
Cs2PrScO4
1.0
-3.639 3.840 5.251
3.639 -3.840 5.251
3.639 3.840 -5.251
Cs Pr Sc O
4 2 2 8
Cartesian
0.000 0.000 0.000
-1.820 1.920 2.626
0.000 3.840 0.000
1.820 1.920 2.626
3.639 0.000 0.000
0.000 0.000 5.251
1.820 1.920 -2.626
1.820 -1.920 2.626
3.639 -0.488 2.438
3.639 3.352 -2.438
2.128 1.920 -0.413
5.151 1.920 -0.413
-1.512 1.920 5.664
1.512 1.920 5.664
0.000 0.488 7.689
0.000 4.328 2.814
```

***

# 5
CsPrSe2O8: optimized geometry, PBE-GGA.

Calculated values
total magnetization: 0.00 μB/cell
ρ: 3.6 g/cm3
uncorrected energy: -5.888 eV/atom
DOS(E_F): 0.0000 states/eV per atom
ΔE_f (raw): -1.533 eV per atom

Cell and atoms, written as POSCAR:
```
CsPrSe2O8
1.0
5.695 0.000 0.000
-2.848 4.932 0.000
0.000 0.000 9.244
Cs Pr Se O
1 1 2 8
Cartesian
0.000 0.000 0.000
0.000 0.000 4.622
0.000 3.288 6.696
2.848 1.644 2.548
-0.487 1.793 6.103
-1.051 4.457 6.103
0.000 3.288 8.341
1.310 1.318 3.141
1.538 3.614 6.103
2.848 1.644 0.903
3.899 0.475 3.141
3.335 3.139 3.141
```

***

# 6
CsPrSe2O6: optimized geometry, PBE-GGA.

Calculated values
total magnetization: 0.00 μB/cell
ρ: 4.6 g/cm3
uncorrected energy: -5.980 eV/atom
DOS(E_F): 0.0000 states/eV per atom
ΔE_f (raw): -1.745 eV per atom

Cell and atoms, written as POSCAR:
```
CsPrSe2O6
1.0
4.559 -5.451 0.000
4.559 5.451 0.000
-2.769 0.000 7.632
Cs Pr Se O
2 2 4 12
Cartesian
2.482 3.673 5.724
3.866 -3.673 1.908
3.866 0.635 1.908
2.482 -0.635 5.724
-0.308 1.301 6.114
1.076 -1.301 2.298
5.273 1.301 5.333
6.657 -1.301 1.517
2.224 2.486 1.911
0.411 0.548 4.743
1.795 -0.548 0.927
1.136 1.164 7.118
5.509 2.486 1.904
3.828 1.164 4.330
2.521 -1.164 3.302
0.839 -2.486 5.727
5.212 -1.164 0.514
4.553 0.548 6.704
5.938 -0.548 2.889
4.125 -2.486 5.720
```